First-principles (GGA-PBEsol) data for a geometry-optimized KNb2O5 structure, as listed in Alexandria via LeMat-Bulk.

Summary:
- Uncorrected formation energy: -2.40 eV per atom

a = 4.000 Å, b = 12.844 Å, c = 12.990 Å
α = 90.00°, β = 91.31°, γ = 90.00°
Sites, in units of the cell vectors:
K (0.000, 0.049, 0.000)
K (0.000, 0.951, 0.500)
K (0.011, 0.239, 0.646)
K (0.011, 0.761, 0.146)
K (0.983, 0.400, 0.341)
K (0.983, 0.600, 0.841)
Nb (0.475, 0.243, 0.161)
Nb (0.475, 0.757, 0.661)
Nb (0.493, 0.452, 0.574)
Nb (0.493, 0.548, 0.074)
Nb (0.500, 0.170, 0.446)
Nb (0.500, 0.830, 0.946)
Nb (0.513, 0.320, 0.845)
Nb (0.513, 0.680, 0.345)
Nb (0.521, 0.035, 0.732)
Nb (0.521, 0.965, 0.232)
Nb (0.885, 0.362, 0.006)
Nb (0.885, 0.638, 0.506)
O (0.006, 0.479, 0.553)
O (0.006, 0.521, 0.053)
O (0.007, 0.042, 0.724)
O (0.007, 0.958, 0.224)
O (0.023, 0.345, 0.853)
O (0.023, 0.655, 0.353)
O (0.481, 0.260, 0.995)
O (0.481, 0.740, 0.495)
O (0.483, 0.255, 0.302)
O (0.483, 0.745, 0.802)
O (0.497, 0.320, 0.504)
O (0.497, 0.680, 0.004)
O (0.500, 0.095, 0.146)
O (0.500, 0.905, 0.646)
O (0.503, 0.107, 0.578)
O (0.503, 0.893, 0.078)
O (0.505, 0.038, 0.361)
O (0.505, 0.962, 0.861)
O (0.510, 0.391, 0.706)
O (0.510, 0.609, 0.206)
O (0.520, 0.182, 0.789)
O (0.520, 0.818, 0.289)
O (0.531, 0.459, 0.937)
O (0.531, 0.541, 0.437)
O (0.543, 0.401, 0.137)
O (0.543, 0.599, 0.637)
O (0.987, 0.255, 0.128)
O (0.987, 0.745, 0.628)
O (0.997, 0.176, 0.440)
O (0.997, 0.824, 0.940)



First-principles (GGA-PBEsol) data for a geometry-optimized K2ZnGeO4 structure, as listed in Alexandria via LeMat-Bulk.

Summary:
- Uncorrected formation energy: -1.72 eV per atom

a = 11.078 Å, b = 5.523 Å, c = 15.826 Å
α = 90.00°, β = 90.00°, γ = 90.00°
Sites, in units of the cell vectors:
K (0.017, 0.005, 0.000)
K (0.017, 0.509, 0.621)
K (0.231, 0.551, 0.246)
K (0.235, 0.050, 0.379)
K (0.265, 0.050, 0.879)
K (0.269, 0.551, 0.746)
K (0.483, 0.005, 0.500)
K (0.483, 0.509, 0.121)
K (0.517, 0.491, 0.621)
K (0.517, 0.995, 0.000)
K (0.731, 0.449, 0.246)
K (0.735, 0.950, 0.379)
K (0.765, 0.950, 0.879)
K (0.769, 0.449, 0.746)
K (0.983, 0.491, 0.121)
K (0.983, 0.995, 0.500)
Zn (0.010, 0.514, 0.872)
Zn (0.239, 0.035, 0.126)
Zn (0.261, 0.035, 0.626)
Zn (0.490, 0.514, 0.372)
Zn (0.510, 0.486, 0.872)
Zn (0.739, 0.965, 0.126)
Zn (0.761, 0.965, 0.626)
Zn (0.990, 0.486, 0.372)
Ge (0.010, 0.018, 0.750)
Ge (0.236, 0.533, 0.496)
Ge (0.264, 0.533, 0.996)
Ge (0.490, 0.018, 0.250)
Ge (0.510, 0.982, 0.750)
Ge (0.736, 0.467, 0.496)
Ge (0.764, 0.467, 0.996)
Ge (0.990, 0.982, 0.250)
O (0.014, 0.295, 0.269)
O (0.028, 0.823, 0.344)
O (0.084, 0.896, 0.165)
O (0.100, 0.390, 0.463)
O (0.161, 0.094, 0.725)
O (0.175, 0.594, 0.906)
O (0.191, 0.335, 0.067)
O (0.193, 0.807, 0.545)
O (0.307, 0.807, 0.045)
O (0.309, 0.335, 0.567)
O (0.325, 0.594, 0.406)
O (0.339, 0.094, 0.225)
O (0.400, 0.390, 0.963)
O (0.416, 0.896, 0.665)
O (0.472, 0.823, 0.844)
O (0.486, 0.295, 0.769)
O (0.514, 0.705, 0.269)
O (0.528, 0.177, 0.344)
O (0.584, 0.104, 0.165)
O (0.600, 0.610, 0.463)
O (0.661, 0.906, 0.725)
O (0.675, 0.406, 0.906)
O (0.691, 0.665, 0.067)
O (0.693, 0.193, 0.545)
O (0.807, 0.193, 0.045)
O (0.809, 0.665, 0.567)
O (0.825, 0.406, 0.406)
O (0.839, 0.906, 0.225)
O (0.900, 0.610, 0.963)
O (0.916, 0.104, 0.665)
O (0.972, 0.177, 0.844)
O (0.986, 0.705, 0.769)



First-principles (GGA-PBEsol) data for a geometry-optimized Zr2PbCl structure, as listed in Alexandria via LeMat-Bulk.

Summary:
- Uncorrected formation energy: -0.40 eV per atom

a = 10.079 Å, b = 3.232 Å, c = 5.524 Å
α = 90.00°, β = 100.04°, γ = 90.00°
Sites, in units of the cell vectors:
Zr (0.000, 0.000, 0.000)
Zr (0.237, 0.500, 0.296)
Zr (0.500, 0.500, 0.000)
Zr (0.737, 0.000, 0.296)
Pb (0.248, 0.000, 0.791)
Pb (0.748, 0.500, 0.791)
Cl (0.476, 0.000, 0.354)
Cl (0.976, 0.500, 0.354)



First-principles (GGA-PBEsol) data for a geometry-optimized KLi3Cr structure, as listed in Alexandria via LeMat-Bulk.

Summary:
- DFT formation energy: 0.645 eV per atom

a = 5.385 Å, b = 5.385 Å, c = 5.385 Å
α = 90.00°, β = 90.00°, γ = 90.00°
Sites, in units of the cell vectors:
K (0.000, 0.000, 0.000)
Li (0.000, 0.500, 0.500)
Li (0.500, 0.000, 0.500)
Li (0.500, 0.500, 0.000)
Cr (0.500, 0.500, 0.500)



First-principles (GGA-PBEsol) data for a geometry-optimized AlTlGaMo2 structure, as listed in Alexandria via LeMat-Bulk.

Summary:
- DFT formation energy: 1.565 eV per atom

a = 4.633 Å, b = 4.633 Å, c = 4.798 Å
α = 90.00°, β = 90.00°, γ = 90.00°
Sites, in units of the cell vectors:
Al (0.000, 0.000, 0.000)
Tl (0.000, 0.000, 0.500)
Ga (0.500, 0.500, 0.500)
Mo (0.000, 0.500, 0.000)
Mo (0.500, 0.000, 0.000)



First-principles (GGA-PBEsol) data for a geometry-optimized MgZn3 structure, as listed in Alexandria via LeMat-Bulk.

Summary:
- DFT formation energy: 0.014 eV per atom

a = 5.546 Å, b = 7.901 Å, c = 2.889 Å
α = 90.00°, β = 90.00°, γ = 90.00°
Sites, in units of the cell vectors:
Mg (0.000, 0.000, 0.000)
Mg (0.500, 0.500, 0.000)
Zn (0.000, 0.500, 0.000)
Zn (0.250, 0.250, 0.500)
Zn (0.250, 0.750, 0.500)
Zn (0.500, 0.000, 0.000)
Zn (0.750, 0.250, 0.500)
Zn (0.750, 0.750, 0.500)



First-principles (GGA-PBEsol) data for a geometry-optimized ZnCdRe2 structure, as listed in Alexandria via LeMat-Bulk.

Summary:
- DFT formation energy: 0.486 eV per atom
- Energy above the most stable polymorph in this dataset: 0.0138 eV/atom

a = 3.005 Å, b = 4.407 Å, c = 9.238 Å
α = 90.00°, β = 90.00°, γ = 90.00°
Sites, in units of the cell vectors:
Zn (0.000, 0.000, 0.000)
Zn (0.500, 0.500, 0.500)
Cd (0.000, 0.000, 0.500)
Cd (0.500, 0.500, 0.000)
Re (0.000, 0.500, 0.262)
Re (0.000, 0.500, 0.738)
Re (0.500, 0.000, 0.238)
Re (0.500, 0.000, 0.762)



First-principles (GGA-PBEsol) data for a geometry-optimized Mg3CoHg structure, as listed in Alexandria via LeMat-Bulk.

Summary:
- DFT formation energy: 0.295 eV per atom

a = 4.752 Å, b = 4.752 Å, c = 4.752 Å
α = 90.00°, β = 90.00°, γ = 90.00°
Sites, in units of the cell vectors:
Mg (0.000, 0.000, 0.500)
Mg (0.000, 0.500, 0.000)
Mg (0.500, 0.000, 0.000)
Co (0.000, 0.000, 0.000)
Hg (0.500, 0.500, 0.500)



First-principles (GGA-PBEsol) data for a geometry-optimized Zn3AsC structure, as listed in Alexandria via LeMat-Bulk.

Summary:
- DFT formation energy: 1.702 eV per atom

a = 4.721 Å, b = 4.721 Å, c = 4.721 Å
α = 90.00°, β = 90.00°, γ = 90.00°
Sites, in units of the cell vectors:
Zn (0.000, 0.000, 0.500)
Zn (0.000, 0.500, 0.000)
Zn (0.500, 0.000, 0.000)
As (0.000, 0.000, 0.000)
C (0.500, 0.500, 0.500)



First-principles (GGA-PBEsol) data for a geometry-optimized Mn2CdAu structure, as listed in Alexandria via LeMat-Bulk.

Summary:
- DFT formation energy: 0.277 eV per atom

a = 9.309 Å, b = 2.902 Å, c = 4.798 Å
α = 90.00°, β = 102.40°, γ = 90.00°
Sites, in units of the cell vectors:
Mn (0.000, 0.000, 0.000)
Mn (0.241, 0.500, 0.253)
Mn (0.500, 0.500, 0.000)
Mn (0.741, 0.000, 0.253)
Cd (0.496, 0.000, 0.493)
Cd (0.996, 0.500, 0.493)
Au (0.253, 0.000, 0.774)
Au (0.753, 0.500, 0.774)



First-principles (GGA-PBEsol) data for a geometry-optimized Na2NbAs2 structure, as listed in Alexandria via LeMat-Bulk.

Summary:
- DFT formation energy: -0.115 eV per atom

a = 6.763 Å, b = 6.763 Å, c = 4.607 Å
α = 90.00°, β = 90.00°, γ = 90.00°
Sites, in units of the cell vectors:
Na (0.165, 0.335, 0.000)
Na (0.335, 0.835, 0.000)
Na (0.665, 0.165, 0.000)
Na (0.835, 0.665, 0.000)
Nb (0.000, 0.000, 0.500)
Nb (0.500, 0.500, 0.500)
As (0.146, 0.646, 0.500)
As (0.354, 0.146, 0.500)
As (0.646, 0.854, 0.500)
As (0.854, 0.354, 0.500)



First-principles (GGA-PBEsol) data for a geometry-optimized Ta3PbAu structure, as listed in Alexandria via LeMat-Bulk.

Summary:
- DFT formation energy: 1.575 eV per atom

a = 4.919 Å, b = 4.919 Å, c = 4.919 Å
α = 90.00°, β = 90.00°, γ = 90.00°
Sites, in units of the cell vectors:
Ta (0.000, 0.000, 0.500)
Ta (0.000, 0.500, 0.000)
Ta (0.500, 0.000, 0.000)
Pb (0.500, 0.500, 0.500)
Au (0.000, 0.000, 0.000)



V (computed, Å³/atom): 13.90, 15.13, 22.15, 31.23, 20.59, 15.83, 15.29, 21.47, 21.04, 15.82, 21.07, 23.80